Entry 1:
Fe2IrSe | PBE-GGA | optimized geometry

Summary:
space group = No. 216

a = 4.294 Å, b = 4.294 Å, c = 4.294 Å
α = 60.00°, β = 60.00°, γ = 60.00°
Atoms (fractional coordinates):
Ir 0.500 0.500 0.500
Fe 0.250 0.250 0.250
Se 0.750 0.750 0.750
Fe 0.000 0.000 0.000

Entry 2:
Fe2IrSe | PBE-GGA | optimized geometry

Summary:
space group = No. 10

a = 3.856 Å, b = 2.810 Å, c = 5.471 Å
α = 69.96°, β = 90.00°, γ = 90.00°
Atoms (fractional coordinates):
Fe 0.000 0.930 0.003
Se 0.500 0.750 0.750
Fe 0.000 0.570 0.497
Ir 0.500 0.250 0.250

Entry 3:
FeIrSe2 | PBE-GGA | optimized geometry

Summary:
space group = No. 225
E above lowest polymorph = 0.4358 eV per atom

a = 4.448 Å, b = 4.448 Å, c = 4.448 Å
α = 60.00°, β = 60.00°, γ = 60.00°
Atoms (fractional coordinates):
Fe 0.000 0.000 0.000
Se 0.250 0.250 0.250
Se 0.750 0.750 0.750
Ir 0.500 0.500 0.500

Entry 4:
Fe2IrSe | PBE-GGA | optimized geometry

Summary:
space group = No. 44

a = 5.121 Å, b = 5.121 Å, c = 5.121 Å
α = 146.72°, β = 130.59°, γ = 60.88°
Atoms (fractional coordinates):
Fe 0.749 0.249 0.500
Ir 0.485 0.485 0.000
Se 0.247 0.747 0.500
Fe 0.019 0.019 0.000

Entry 5:
Fe2IrSe | PBE-GGA | optimized geometry

Summary:
space group = No. 122

a = 5.314 Å, b = 5.314 Å, c = 6.391 Å
α = 65.43°, β = 65.43°, γ = 90.00°
Atoms (fractional coordinates):
Ir 0.000 0.000 0.000
Se 0.250 0.750 0.500
Fe 0.875 0.877 0.750
Fe 0.627 0.125 0.250
Ir 0.750 0.250 0.500
Fe 0.123 0.625 0.250
Se 0.500 0.500 0.000
Fe 0.375 0.373 0.750

Entry 6:
FeIrSe2 | PBE-GGA | optimized geometry

Summary:
space group = No. 71
E above lowest polymorph = 0.0215 eV per atom

a = 7.139 Å, b = 7.139 Å, c = 7.139 Å
α = 149.64°, β = 149.95°, γ = 43.24°
Atoms (fractional coordinates):
Ir 0.250 0.750 0.500
Se 0.876 0.876 0.000
Se 0.624 0.624 0.000
Fe 0.750 0.250 0.500

Entry 7:
Fe2IrSe | PBE-GGA | optimized geometry

Summary:
space group = No. 12

a = 4.624 Å, b = 4.624 Å, c = 2.845 Å
α = 90.20°, β = 90.20°, γ = 111.43°
Atoms (fractional coordinates):
Ir 0.500 0.000 0.500
Fe 0.000 0.000 0.000
Fe 0.500 0.500 0.000
Se 0.000 0.500 0.500

Entry 8:
FeIrSe2 | PBE-GGA | optimized geometry

Summary:
space group = No. 8
E above lowest polymorph = 0.1717 eV per atom

a = 4.392 Å, b = 4.392 Å, c = 6.230 Å
α = 86.23°, β = 86.23°, γ = 50.92°
Atoms (fractional coordinates):
Fe 0.483 0.483 0.332
Se 0.964 0.964 0.114
Se 0.299 0.299 0.642
Ir 0.754 0.754 0.413

Entry 9:
Fe2IrSe | PBE-GGA | optimized geometry

Summary:
space group = No. 35

a = 2.700 Å, b = 2.700 Å, c = 9.171 Å
α = 90.00°, β = 90.00°, γ = 114.22°
Atoms (fractional coordinates):
Fe 0.500 0.500 0.231
Ir 0.000 0.000 0.454
Se 0.500 0.500 0.797
Fe 0.000 0.000 0.017

Entry 10:
FeIrSe2 | PBE-GGA | optimized geometry

Summary:
space group = No. 166
E above lowest polymorph = 0.2958 eV per atom

a = 8.080 Å, b = 8.080 Å, c = 8.080 Å
α = 22.39°, β = 22.39°, γ = 22.39°
Atoms (fractional coordinates):
Se 0.101 0.101 0.101
Se 0.899 0.899 0.899
Fe 0.500 0.500 0.500
Ir 0.000 0.000 0.000

Entry 11:
FeIrSe2 | PBE-GGA | optimized geometry

Summary:
space group = No. 160
E above lowest polymorph = 0.2007 eV per atom

a = 6.990 Å, b = 6.990 Å, c = 6.990 Å
α = 30.82°, β = 30.82°, γ = 30.82°
Atoms (fractional coordinates):
Se 0.219 0.219 0.219
Se 0.030 0.030 0.030
Ir 0.758 0.758 0.758
Fe 0.492 0.492 0.492

Entry 12:
Fe2IrSe | PBE-GGA | optimized geometry

Summary:
space group = No. 99

a = 3.024 Å, b = 3.024 Å, c = 6.024 Å
α = 90.00°, β = 90.00°, γ = 90.00°
Atoms (fractional coordinates):
Ir 0.000 0.000 0.477
Fe 0.500 0.500 0.236
Se 0.500 0.500 0.785
Fe 0.000 0.000 0.002

Entry 13:
FeIrSe2 | PBE-GGA | optimized geometry

Summary:
space group = No. 166
E above lowest polymorph = 0.3281 eV per atom

a = 7.541 Å, b = 7.541 Å, c = 7.541 Å
α = 28.72°, β = 28.72°, γ = 28.72°
Atoms (fractional coordinates):
Ir 0.500 0.500 0.500
Fe 0.000 0.000 0.000
Se 0.108 0.108 0.108
Se 0.892 0.892 0.892

Entry 14:
FeIrSe2 | PBE-GGA | optimized geometry

Summary:
space group = No. 65
E above lowest polymorph = 0.4816 eV per atom

a = 3.791 Å, b = 4.446 Å, c = 4.444 Å
α = 75.18°, β = 90.00°, γ = 90.00°
Atoms (fractional coordinates):
Ir 0.500 0.750 0.750
Se 0.000 0.519 0.519
Se 0.000 0.981 0.981
Fe 0.500 0.250 0.250

Entry 15:
FeIrSe2 | PBE-GGA | optimized geometry

Summary:
space group = No. 166
E above lowest polymorph = 0.4002 eV per atom

a = 7.607 Å, b = 7.607 Å, c = 7.607 Å
α = 23.75°, β = 23.75°, γ = 23.75°
Atoms (fractional coordinates):
Ir 0.750 0.750 0.750
Fe 0.250 0.250 0.250
Se 0.994 0.994 0.994
Se 0.506 0.506 0.506

Entry 16:
Th4FeIrSe2 | PBE-GGA | optimized geometry

Summary:
space group = No. 10

a = 4.072 Å, b = 7.074 Å, c = 7.686 Å
α = 107.71°, β = 90.00°, γ = 90.00°
Atoms (fractional coordinates):
Th 0.500 0.249 0.212
Fe 0.500 0.500 0.000
Th 0.000 0.728 0.209
Se 0.500 0.000 0.500
Se 0.000 0.500 0.500
Th 0.000 0.272 0.791
Th 0.500 0.751 0.788
Ir 0.000 0.000 0.000

Entry 17:
Fe2SiIr | PBE-GGA | optimized geometry

Summary:
space group = No. 166

a = 8.062 Å, b = 8.062 Å, c = 8.062 Å
α = 18.88°, β = 18.88°, γ = 18.88°
Atoms (fractional coordinates):
Fe 0.005 0.005 0.005
Ir 0.250 0.250 0.250
Fe 0.495 0.495 0.495
Si 0.750 0.750 0.750

Entry 18:
Fe2SiIr | PBE-GGA | optimized geometry

Summary:
space group = No. 47

a = 2.665 Å, b = 3.771 Å, c = 4.984 Å
α = 90.00°, β = 90.00°, γ = 90.00°
Atoms (fractional coordinates):
Ir 0.500 0.500 0.250
Si 0.500 0.500 0.750
Fe 0.000 0.000 0.510
Fe 0.000 0.000 0.990

Entry 19:
FeSiIr2 | PBE-GGA | optimized geometry

Summary:
space group = No. 122

a = 5.283 Å, b = 5.283 Å, c = 6.659 Å
α = 66.63°, β = 66.63°, γ = 90.00°
Atoms (fractional coordinates):
Ir 0.375 0.380 0.750
Fe 0.750 0.250 0.500
Ir 0.875 0.870 0.750
Ir 0.130 0.625 0.250
Fe 0.000 0.000 0.000
Si 0.500 0.500 0.000
Ir 0.620 0.125 0.250
Si 0.250 0.750 0.500

Entry 20:
FeSiIr2 | PBE-GGA | optimized geometry

Summary:
space group = No. 99

a = 2.805 Å, b = 2.805 Å, c = 6.589 Å
α = 90.00°, β = 90.00°, γ = 90.00°
Atoms (fractional coordinates):
Ir 0.500 0.500 0.285
Si 0.000 0.000 0.515
Ir 0.000 0.000 0.978
Fe 0.500 0.500 0.722

Entry 21:
FeSiIr4 | PBE-GGA | optimized geometry

Summary:
space group = No. 216

a = 5.161 Å, b = 5.161 Å, c = 5.161 Å
α = 60.00°, β = 60.00°, γ = 60.00°
Atoms (fractional coordinates):
Ir 0.375 0.375 0.375
Si 0.750 0.750 0.750
Fe 0.000 0.000 0.000
Ir 0.875 0.375 0.375
Ir 0.375 0.875 0.375
Ir 0.375 0.375 0.875

Entry 22:
FeSiIr2 | PBE-GGA | optimized geometry

Summary:
space group = No. 216

a = 4.258 Å, b = 4.258 Å, c = 4.258 Å
α = 60.00°, β = 60.00°, γ = 60.00°
Atoms (fractional coordinates):
Fe 0.500 0.500 0.500
Ir 0.250 0.250 0.250
Si 0.750 0.750 0.750
Ir 0.000 0.000 0.000

Entry 23:
FeSiIr2 | PBE-GGA | optimized geometry

Summary:
space group = No. 8

a = 4.777 Å, b = 4.777 Å, c = 4.451 Å
α = 69.78°, β = 69.78°, γ = 33.54°
Atoms (fractional coordinates):
Ir 0.987 0.987 0.048
Si 0.513 0.513 0.551
Fe 0.227 0.227 0.215
Ir 0.773 0.773 0.686

Entry 24:
Fe4SiIr | PBE-GGA | optimized geometry

Summary:
space group = No. 216
E above lowest polymorph = 0.0000 eV per atom

a = 4.679 Å, b = 4.679 Å, c = 4.679 Å
α = 60.00°, β = 60.00°, γ = 60.00°
Atoms (fractional coordinates):
Fe 0.626 0.626 0.123
Ir 0.250 0.250 0.250
Fe 0.123 0.626 0.626
Fe 0.626 0.626 0.626
Si 0.000 0.000 0.000
Fe 0.626 0.123 0.626

Entry 25:
Fe4SiIr | PBE-GGA | optimized geometry

Summary:
space group = No. 65
E above lowest polymorph = 0.2165 eV per atom

a = 3.603 Å, b = 3.603 Å, c = 6.401 Å
α = 90.03°, β = 89.97°, γ = 89.81°
Atoms (fractional coordinates):
Fe 0.503 0.999 0.735
Fe 0.003 0.499 0.269
Fe 0.503 0.999 0.269
Ir 0.502 0.499 0.002
Fe 0.003 0.499 0.735
Si 0.003 0.998 0.502

Entry 26:
Fe2SiIr | PBE-GGA | optimized geometry

Summary:
space group = No. 123

a = 3.938 Å, b = 3.575 Å, c = 3.575 Å
α = 90.00°, β = 90.00°, γ = 90.00°
Atoms (fractional coordinates):
Si 0.500 0.000 0.500
Fe 0.000 0.500 0.500
Fe 0.000 0.000 0.000
Ir 0.500 0.500 0.000

Entry 27:
FeSiIr2 | PBE-GGA | optimized geometry

Summary:
space group = No. 47

a = 2.760 Å, b = 4.629 Å, c = 4.283 Å
α = 90.00°, β = 90.00°, γ = 90.00°
Atoms (fractional coordinates):
Si 0.500 0.000 0.500
Ir 0.500 0.500 0.000
Fe 0.000 0.500 0.500
Ir 0.000 0.000 0.000

Entry 28:
FeSiIr2 | PBE-GGA | optimized geometry

Summary:
space group = No. 166

a = 8.161 Å, b = 8.161 Å, c = 8.161 Å
α = 19.83°, β = 19.83°, γ = 19.83°
Atoms (fractional coordinates):
Ir 0.995 0.995 0.995
Fe 0.750 0.750 0.750
Si 0.250 0.250 0.250
Ir 0.505 0.505 0.505

Entry 29:
FeSiIr2 | PBE-GGA | optimized geometry

Summary:
space group = No. 65

a = 4.407 Å, b = 4.407 Å, c = 2.781 Å
α = 90.00°, β = 90.00°, γ = 102.05°
Atoms (fractional coordinates):
Ir 0.500 0.500 0.000
Ir 0.000 0.000 0.000
Fe 0.000 0.500 0.500
Si 0.500 0.000 0.500

Entry 30:
Fe2SiIr | PBE-GGA | optimized geometry

Summary:
space group = No. 119

a = 4.412 Å, b = 4.412 Å, c = 4.412 Å
α = 131.09°, β = 131.09°, γ = 71.67°
Atoms (fractional coordinates):
Fe 0.000 0.000 0.000
Ir 0.500 0.500 0.000
Fe 0.250 0.750 0.500
Si 0.750 0.250 0.500

no.,formation energy without anion corrections (eV/atom),electronic total energy (eV for the cell shown)
1,0.3328,-27.94
2,0.2626,-28.22
3,0.3136,-23.04
4,0.2760,-28.17
5,0.6215,-53.57
6,-0.1007,-24.70
7,0.2801,-28.15
8,0.0495,-24.09
9,0.3605,-27.83
10,0.1736,-23.60
11,0.0785,-23.98
12,0.1717,-28.58
13,0.2059,-23.47
14,0.3594,-22.85
15,0.2780,-23.18
16,-1.0541,-62.40
17,-0.0893,-31.57
18,-0.1882,-31.96
19,0.4920,-59.28
20,-0.2213,-32.49
21,0.5871,-45.81
22,0.0532,-31.39
23,-0.2484,-32.60
24,0.1008,-47.53
25,0.3173,-46.23
26,-0.2784,-32.32
27,-0.0464,-31.79
28,-0.2238,-32.50
29,-0.2715,-32.69
30,-0.2090,-32.05